DFT (PBE-GGA) results for TlPtSe2 after structural relaxation.

Cell: 4.9451 2.9326 6.7222 Å, 90.12 90.00 90.00°
Sites, in units of the cell vectors:
1 Pt 0.5000 0.0034 0.8623
2 Tl 0.0000 0.4903 0.4745
3 Se 0.0000 0.0052 0.9302
4 Se 0.5000 0.0011 0.2331

The calculation puts the uncorrected formation energy at 0.109 eV per atom. Its symmetry is Pm, No. 6. For the offset from the most stable computed form, the calculation gives 415 meV per atom. As for the magnetization: 0.00 Bohr magnetons per cell. The calculated density is 9.49 g/cm³.

=====

DFT (PBE-GGA) results for TlPt2Se after structural relaxation.

Cell: 5.2460 5.2460 5.1665 Å, 85.36 85.36 41.55°
Sites, in units of the cell vectors:
1 Pt 0.7812 0.7812 0.8245
2 Pt 0.0845 0.0845 0.7791
3 Tl 0.1965 0.1965 0.2583
4 Se 0.4378 0.4378 0.6382

The calculation puts the uncorrected formation energy at -0.088 eV per atom. Its symmetry is Cm, No. 8. As for the magnetization: 0.00 Bohr magnetons per cell. The calculated density is 11.90 g/cm³.

=====

DFT (PBE-GGA) results for TlPtSe2 after structural relaxation.

Cell: 8.3590 8.3590 8.3590 Å, 155.72 156.31 34.18°
Sites, in units of the cell vectors:
1 Se 0.2342 0.7342 0.5000
2 Se 0.9166 0.9166 0.0000
3 Pt 0.8003 0.3003 0.5000
4 Tl 0.5489 0.5489 0.0000

The calculation puts the uncorrected formation energy at -0.025 eV per atom. Its symmetry is Imm2, No. 44. For the offset from the most stable computed form, the calculation gives 281 meV per atom. As for the magnetization: 0.00 Bohr magnetons per cell. The calculated density is 9.60 g/cm³.

=====

DFT (PBE-GGA) results for Tl2PtSe after structural relaxation.

Cell: 3.4199 3.4199 8.1330 Å, 90.00 90.00 101.52°
Sites, in units of the cell vectors:
1 Tl 0.0000 0.0000 0.0192
2 Tl 0.0000 0.0000 0.4808
3 Pt 0.5000 0.5000 0.2500
4 Se 0.5000 0.5000 0.7500

The calculation puts the uncorrected formation energy at 0.143 eV per atom. Its symmetry is Cmmm, No. 65. For the offset from the most stable computed form, the calculation gives 298 meV per atom. As for the magnetization: 0.00 Bohr magnetons per cell. The calculated density is 12.16 g/cm³.

=====

DFT (PBE-GGA) results for Tl2PtSe after structural relaxation.

Cell: 3.5669 3.5669 8.1601 Å, 90.00 90.00 90.00°
Sites, in units of the cell vectors:
1 Pt 0.0000 0.0000 0.5869
2 Se 0.5000 0.5000 0.6634
3 Tl 0.5000 0.5000 0.2924
4 Tl 0.0000 0.0000 0.9574

The calculation puts the uncorrected formation energy at -0.044 eV per atom. Its symmetry is P4mm, No. 99. For the offset from the most stable computed form, the calculation gives 110 meV per atom. As for the magnetization: 0.00 Bohr magnetons per cell. The calculated density is 10.92 g/cm³.

=====

DFT (PBE-GGA) results for TlPtSe2 after structural relaxation.

Cell: 6.6068 6.6068 5.0756 Å, 64.79 64.79 32.62°
Sites, in units of the cell vectors:
1 Pt 0.3126 0.3126 0.0008
2 Se 0.7349 0.7349 0.8187
3 Se 0.8929 0.8929 0.1782
4 Tl 0.5596 0.5596 0.5023

The calculation puts the uncorrected formation energy at -0.275 eV per atom. Its symmetry is Cm, No. 8. For the offset from the most stable computed form, the calculation gives 31 meV per atom. As for the magnetization: 0.00 Bohr magnetons per cell. The calculated density is 8.65 g/cm³.

=====

DFT (PBE-GGA) results for TlPtSe2 after structural relaxation.

Cell: 7.0716 7.0716 7.0716 Å, 32.70 32.70 32.70°
Sites, in units of the cell vectors:
1 Se 0.0211 0.0211 0.0211
2 Se 0.2431 0.2431 0.2431
3 Pt 0.7390 0.7390 0.7390
4 Tl 0.4968 0.4968 0.4968

The calculation puts the uncorrected formation energy at -0.042 eV per atom. Its symmetry is R3m, No. 160. For the offset from the most stable computed form, the calculation gives 264 meV per atom. As for the magnetization: 0.00 Bohr magnetons per cell. The calculated density is 10.08 g/cm³.

=====

DFT (PBE-GGA) results for TlPt2Se after structural relaxation.

Cell: 7.5817 7.5817 7.5817 Å, 28.65 28.65 28.65°
Sites, in units of the cell vectors:
1 Se 0.5267 0.5267 0.5267
2 Pt 0.9870 0.9870 0.9870
3 Pt 0.2491 0.2491 0.2491
4 Tl 0.7372 0.7372 0.7372

The calculation puts the uncorrected formation energy at -0.072 eV per atom. Its symmetry is R3m, No. 160. As for the magnetization: 0.00 Bohr magnetons per cell. The calculated density is 12.63 g/cm³.

=====

DFT (PBE-GGA) results for TlPtSe2 after structural relaxation.

Cell: 5.1948 5.1948 3.1195 Å, 90.00 90.00 90.00°
Sites, in units of the cell vectors:
1 Se 0.5000 0.5000 0.0000
2 Se 0.0000 0.0000 0.0000
3 Pt 0.0000 0.5000 0.5000
4 Tl 0.5000 0.0000 0.5000

The calculation puts the uncorrected formation energy at 0.322 eV per atom. Its symmetry is P4/mmm, No. 123. For the offset from the most stable computed form, the calculation gives 628 meV per atom. As for the magnetization: 0.00 Bohr magnetons per cell. The calculated density is 10.99 g/cm³.

=====

DFT (PBE-GGA) results for TlPtSe2 after structural relaxation.

Cell: 3.8175 3.8175 8.1296 Å, 76.42 76.42 60.00°
Sites, in units of the cell vectors:
1 Pt 0.6665 0.6665 0.0006
2 Se 0.2773 0.2773 0.1682
3 Se 0.0560 0.0560 0.8321
4 Tl 0.5003 0.5003 0.4991

The calculation puts the uncorrected formation energy at -0.306 eV per atom. Its symmetry is R3m, No. 160. For the offset from the most stable computed form, the calculation gives 0 meV per atom. As for the magnetization: 0.00 Bohr magnetons per cell. The calculated density is 9.37 g/cm³.

=====

DFT (PBE-GGA) results for TlPtSe2 after structural relaxation.

Cell: 6.3010 6.3010 7.4459 Å, 64.97 64.97 90.00°
Sites, in units of the cell vectors:
1 Pt 0.5000 0.5000 0.0000
2 Pt 0.2500 0.7500 0.5000
3 Se 0.3750 0.4426 0.7500
4 Se 0.8750 0.8074 0.7500
5 Se 0.5574 0.1250 0.2500
6 Se 0.1926 0.6250 0.2500
7 Tl 0.0000 0.0000 0.0000
8 Tl 0.7500 0.2500 0.5000

The calculation puts the uncorrected formation energy at -0.132 eV per atom. Its symmetry is I-42d, No. 122. For the offset from the most stable computed form, the calculation gives 174 meV per atom. As for the magnetization: 0.00 Bohr magnetons per cell. The calculated density is 7.82 g/cm³.

=====

DFT (PBE-GGA) results for TlPt2Se after structural relaxation.

Cell: 4.7501 4.7501 4.7501 Å, 60.00 60.00 60.00°
Sites, in units of the cell vectors:
1 Pt 0.2500 0.2500 0.2500
2 Pt 0.0000 0.0000 0.0000
3 Tl 0.7500 0.7500 0.7500
4 Se 0.5000 0.5000 0.5000

The calculation puts the uncorrected formation energy at 0.357 eV per atom. Its symmetry is F-43m, No. 216. As for the magnetization: 0.00 Bohr magnetons per cell. The calculated density is 14.76 g/cm³.

=====

Please write out number 9 again, unchanged.
DFT (PBE-GGA) results for TlPtSe2 after structural relaxation.

Cell: 5.1948 5.1948 3.1195 Å, 90.00 90.00 90.00°
Sites, in units of the cell vectors:
1 Se 0.5000 0.5000 0.0000
2 Se 0.0000 0.0000 0.0000
3 Pt 0.0000 0.5000 0.5000
4 Tl 0.5000 0.0000 0.5000

The calculation puts the uncorrected formation energy at 0.322 eV per atom. Its symmetry is P4/mmm, No. 123. For the offset from the most stable computed form, the calculation gives 628 meV per atom. As for the magnetization: 0.00 Bohr magnetons per cell. The calculated density is 10.99 g/cm³.